Sr4V3O10 (PBEsol, relaxed); E_form (uncorrected) = -2.83 eV per atom; electronic total energy = -136.9 eV for the cell shown; N(E_F) = 0.293 states/eV/atom
1.0
-1.9046 1.9046 13.8716
1.9046 -1.9046 13.8716
1.9046 1.9046 -13.8716
Sr V O
4 3 10
direct
0.0683 0.0683 0.0000
0.2024 0.2024 0.0000
0.7976 0.7976 0.0000
0.9317 0.9317 0.0000
0.3620 0.3620 0.0000
0.5000 0.5000 0.0000
0.6380 0.6380 0.0000
0.0000 0.5000 0.5000
0.1379 0.6379 0.5000
0.2916 0.2916 0.0000
0.3621 0.8621 0.5000
0.4309 0.4309 0.0000
0.5000 0.0000 0.5000
0.5691 0.5691 0.0000
0.6379 0.1379 0.5000
0.7084 0.7084 0.0000
0.8621 0.3621 0.5000